No. 1
# SbAs3, optimized geometry, DFT PBE-GGA
# Crystal system: trigonal
# E: -4.51 eV/atom
# Uncorrected formation energy: 0.004 eV per atom
# Energy above the lowest structure with this stoichiometry: 0.000 eV per atom
data_SbAs3
_chemical_formula_sum 'Sb6 As18'
_space_group_name_H-M_alt 'R -3 m'
_space_group_IT_number 166
_space_group_name_Hall '-R 3 2"'
_cell_length_a 7.9127
_cell_length_b 7.9127
_cell_length_c 11.1716
_cell_angle_alpha 90.00
_cell_angle_beta 90.00
_cell_angle_gamma 120.00
loop_
_atom_site_label
_atom_site_type_symbol
_atom_site_fract_x
_atom_site_fract_y
_atom_site_fract_z
Sb1 Sb 0.0000 0.0000 0.2433
As1 As 0.0110 0.5055 0.2224

No. 2
# ScSb2As, optimized geometry, DFT PBE-GGA
# Crystal system: monoclinic
# E: -5.27 eV/atom
# Uncorrected formation energy: -0.467 eV per atom
data_ScSb2As
_chemical_formula_sum 'Sc1 Sb2 As1'
_space_group_name_H-M_alt 'P 1 m 1'
_space_group_IT_number 6
_space_group_name_Hall 'P -2y'
_cell_length_a 4.3322
_cell_length_b 3.9998
_cell_length_c 5.8884
_cell_angle_alpha 90.00
_cell_angle_beta 111.37
_cell_angle_gamma 90.00
loop_
_atom_site_label
_atom_site_type_symbol
_atom_site_fract_x
_atom_site_fract_y
_atom_site_fract_z
Sc1 Sc 0.0000 0.0000 0.0000
Sb1 Sb 0.3249 0.0000 0.5682
Sb2 Sb 0.5742 0.5000 0.1497
As1 As 0.9058 0.5000 0.6415

No. 3
# ScSbAs2, optimized geometry, DFT PBE-GGA
# Crystal system: orthorhombic
# E: -5.24 eV/atom
# Uncorrected formation energy: -0.300 eV per atom
data_ScSbAs2
_chemical_formula_sum 'Sc2 Sb2 As4'
_space_group_name_H-M_alt 'C m m m'
_space_group_IT_number 65
_space_group_name_Hall '-C 2 2'
_cell_length_a 4.0944
_cell_length_b 5.4696
_cell_length_c 7.8142
_cell_angle_alpha 90.00
_cell_angle_beta 90.00
_cell_angle_gamma 90.00
loop_
_atom_site_label
_atom_site_type_symbol
_atom_site_fract_x
_atom_site_fract_y
_atom_site_fract_z
Sc1 Sc 0.0000 0.0000 0.0000
Sb1 Sb 0.0000 0.0000 0.5000
As1 As 0.0000 0.5000 0.2238

No. 4
# ScSb2As, optimized geometry, DFT PBE-GGA
# Crystal system: tetragonal
# E: -5.03 eV/atom
# Uncorrected formation energy: -0.226 eV per atom
data_ScSb2As
_chemical_formula_sum 'Sc1 Sb2 As1'
_space_group_name_H-M_alt 'P 4/m m m'
_space_group_IT_number 123
_space_group_name_Hall '-P 4 2'
_cell_length_a 4.9889
_cell_length_b 4.9889
_cell_length_c 3.7672
_cell_angle_alpha 90.00
_cell_angle_beta 90.00
_cell_angle_gamma 90.00
loop_
_atom_site_label
_atom_site_type_symbol
_atom_site_fract_x
_atom_site_fract_y
_atom_site_fract_z
Sc1 Sc 0.0000 0.0000 0.0000
Sb1 Sb 0.0000 0.5000 0.5000
As1 As 0.5000 0.5000 0.0000